Material: K4In3FeO8
Method: DFT, PBE+U
State: relaxed

POSCAR file:
```
K4In3FeO8
1.0
6.6171 0.0000 0.0000
0.0000 7.2305 0.4120
-3.3086 -3.2985 4.6882
K In Fe O
4 3 1 8
direct
0.5000 0.0000 0.0000 K
0.5000 0.0000 0.5000 K
0.0000 0.0000 0.0000 K
0.0000 0.0000 0.5000 K
0.5000 0.5000 0.0000 In
0.5000 0.5000 0.5000 In
0.0000 0.5000 0.5000 In
0.0000 0.5000 0.0000 Fe
0.2198 0.6822 0.9625 O
0.2201 0.6823 0.4401 O
0.2711 0.3135 0.5423 O
0.7427 0.6822 0.9625 O
0.2573 0.3178 0.0375 O
0.7289 0.6865 0.4577 O
0.7799 0.3177 0.5599 O
0.7802 0.3178 0.0375 O
```

**Density of states at the Fermi level**: 0.0 states/eV/f.u.
**Uncorrected energy**: -5.1507 eV/atom
**Volume**: 14.58 Å³/atom